1.
# KBa2SrH, optimized geometry, DFT PBE-GGA
data_KBa2SrH
_chemical_formula_sum 'K1 Ba2 Sr1 H1'
_symmetry_space_group_name_H-M 'P 1'
_symmetry_Int_Tables_number 1
_cell_length_a 6.0013
_cell_length_b 6.0013
_cell_length_c 6.4248
_cell_angle_alpha 90.00
_cell_angle_beta 90.00
_cell_angle_gamma 90.00
loop_
_symmetry_equiv_pos_as_xyz
'x,y,z'
loop_
_atom_site_label
_atom_site_type_symbol
_atom_site_fract_x
_atom_site_fract_y
_atom_site_fract_z
K1 K 0.0000 0.0000 0.0000
Ba1 Ba 0.0000 0.5000 0.5000
Ba2 Ba 0.5000 0.0000 0.5000
Sr1 Sr 0.5000 0.5000 0.0000
H1 H 0.0000 0.0000 0.5000
# ρ, g cm⁻³: 2.9
# Volume, Å³/f.u.: 231
# Total DFT energy (no corrections), eV/atom: -2.03
# Space group: No. 123

=====

2.
# Cd4BiSb, optimized geometry, DFT PBE-GGA
data_Cd4BiSb
_chemical_formula_sum 'Cd4 Bi1 Sb1'
_symmetry_space_group_name_H-M 'P 1'
_symmetry_Int_Tables_number 1
_cell_length_a 5.4606
_cell_length_b 5.4606
_cell_length_c 6.0250
_cell_angle_alpha 90.00
_cell_angle_beta 90.00
_cell_angle_gamma 90.00
loop_
_symmetry_equiv_pos_as_xyz
'x,y,z'
loop_
_atom_site_label
_atom_site_type_symbol
_atom_site_fract_x
_atom_site_fract_y
_atom_site_fract_z
Cd1 Cd 0.0000 0.5000 0.2468
Cd2 Cd 0.0000 0.5000 0.7532
Cd3 Cd 0.5000 0.0000 0.2468
Cd4 Cd 0.5000 0.0000 0.7532
Bi1 Bi 0.0000 0.0000 0.5000
Sb1 Sb 0.5000 0.5000 0.0000
# ρ, g cm⁻³: 7.2
# Volume, Å³/f.u.: 180
# Total DFT energy (no corrections), eV/atom: -1.88
# Space group: No. 123
# Energy relative to the elements, uncorrected, eV per atom: 0.06

=====

3.
# TbU2Cr2C4, optimized geometry, DFT PBE-GGA
data_TbU2Cr2C4
_chemical_formula_sum 'Tb1 U2 Cr2 C4'
_symmetry_space_group_name_H-M 'P 1'
_symmetry_Int_Tables_number 1
_cell_length_a 6.7375
_cell_length_b 6.7375
_cell_length_c 5.9234
_cell_angle_alpha 107.27
_cell_angle_beta 107.27
_cell_angle_gamma 27.66
loop_
_symmetry_equiv_pos_as_xyz
'x,y,z'
loop_
_atom_site_label
_atom_site_type_symbol
_atom_site_fract_x
_atom_site_fract_y
_atom_site_fract_z
Tb1 Tb 0.0000 0.0000 0.0000
U1 U 0.1290 0.1290 0.5358
U2 U 0.8710 0.8710 0.4642
Cr1 Cr 0.3152 0.3152 0.9916
Cr2 Cr 0.6848 0.6848 0.0084
C1 C 0.2289 0.2289 0.2292
C2 C 0.4497 0.4497 0.2640
C3 C 0.5503 0.5503 0.7360
C4 C 0.7711 0.7711 0.7708
# ρ, g cm⁻³: 11.0
# Volume, Å³/f.u.: 119
# E_form, eV per atom: -0.0049
# Total DFT energy (no corrections), eV/atom: -9.27
# Space group: No. 12

=====

4.
# TaCuMo2, optimized geometry, DFT PBE-GGA
data_TaCuMo2
_chemical_formula_sum 'Ta1 Cu1 Mo2'
_symmetry_space_group_name_H-M 'P 1'
_symmetry_Int_Tables_number 1
_cell_length_a 2.6958
_cell_length_b 4.5620
_cell_length_c 5.1765
_cell_angle_alpha 90.00
_cell_angle_beta 98.89
_cell_angle_gamma 90.00
loop_
_symmetry_equiv_pos_as_xyz
'x,y,z'
loop_
_atom_site_label
_atom_site_type_symbol
_atom_site_fract_x
_atom_site_fract_y
_atom_site_fract_z
Ta1 Ta 0.0000 0.0000 0.0000
Cu1 Cu 0.5000 0.0000 0.5000
Mo1 Mo 0.2695 0.5000 0.7517
Mo2 Mo 0.7305 0.5000 0.2483
# ρ, g cm⁻³: 11.5
# Volume, Å³/f.u.: 63
# E_form, eV per atom: 0.1810
# Total DFT energy (no corrections), eV/atom: -9.22
# Space group: No. 10

=====

5.
# Rb2Bi2Rh, optimized geometry, DFT PBE-GGA
data_Rb2Bi2Rh
_chemical_formula_sum 'Rb4 Bi4 Rh2'
_symmetry_space_group_name_H-M 'P 1'
_symmetry_Int_Tables_number 1
_cell_length_a 4.4029
_cell_length_b 4.4029
_cell_length_c 21.9879
_cell_angle_alpha 90.00
_cell_angle_beta 90.00
_cell_angle_gamma 90.00
loop_
_symmetry_equiv_pos_as_xyz
'x,y,z'
loop_
_atom_site_label
_atom_site_type_symbol
_atom_site_fract_x
_atom_site_fract_y
_atom_site_fract_z
Rb1 Rb 0.0000 0.0000 0.0919
Rb2 Rb 0.0000 0.0000 0.9081
Rb3 Rb 0.5000 0.5000 0.4081
Rb4 Rb 0.5000 0.5000 0.5919
Bi1 Bi 0.0000 0.5000 0.2500
Bi2 Bi 0.0000 0.5000 0.7500
Bi3 Bi 0.5000 0.0000 0.2500
Bi4 Bi 0.5000 0.0000 0.7500
Rh1 Rh 0.0000 0.0000 0.5000
Rh2 Rh 0.5000 0.5000 0.0000
# ρ, g cm⁻³: 5.4
# Volume, Å³/f.u.: 213
# E_form, eV per atom: 0.5251
# Total DFT energy (no corrections), eV/atom: -2.88
# Space group: No. 139

=====

6.
# La6ZnRu2I3, optimized geometry, DFT PBE-GGA
data_La6ZnRu2I3
_chemical_formula_sum 'La6 Zn1 Ru2 I3'
_symmetry_space_group_name_H-M 'P 1'
_symmetry_Int_Tables_number 1
_cell_length_a 7.4276
_cell_length_b 7.4276
_cell_length_c 8.6401
_cell_angle_alpha 98.24
_cell_angle_beta 98.24
_cell_angle_gamma 120.01
loop_
_symmetry_equiv_pos_as_xyz
'x,y,z'
loop_
_atom_site_label
_atom_site_type_symbol
_atom_site_fract_x
_atom_site_fract_y
_atom_site_fract_z
La1 La 0.0792 0.4369 0.8110
La2 La 0.2053 0.2053 0.1879
La3 La 0.4369 0.0792 0.8110
La4 La 0.5631 0.9208 0.1890
La5 La 0.7947 0.7947 0.8121
La6 La 0.9208 0.5631 0.1890
Zn1 Zn 0.5000 0.5000 0.0000
Ru1 Ru 0.1668 0.8332 0.0000
Ru2 Ru 0.8332 0.1668 0.0000
I1 I 0.0000 0.0000 0.5000
I2 I 0.3363 0.6637 0.5000
I3 I 0.6637 0.3363 0.5000
# ρ, g cm⁻³: 6.2
# Volume, Å³/f.u.: 395
# Total DFT energy (no corrections), eV/atom: -5.27
# Space group: No. 12
# Energy relative to the elements, uncorrected, eV per atom: -0.77

=====

7.
# Na2MgBC, optimized geometry, DFT PBE-GGA
data_Na2MgBC
_chemical_formula_sum 'Na2 Mg1 B1 C1'
_symmetry_space_group_name_H-M 'P 1'
_symmetry_Int_Tables_number 1
_cell_length_a 5.8858
_cell_length_b 5.8858
_cell_length_c 2.8875
_cell_angle_alpha 90.00
_cell_angle_beta 90.00
_cell_angle_gamma 90.00
loop_
_symmetry_equiv_pos_as_xyz
'x,y,z'
loop_
_atom_site_label
_atom_site_type_symbol
_atom_site_fract_x
_atom_site_fract_y
_atom_site_fract_z
Na1 Na 0.0000 0.5000 0.0000
Na2 Na 0.5000 0.0000 0.0000
Mg1 Mg 0.0000 0.0000 0.5000
B1 B 0.5000 0.5000 0.0000
C1 C 0.5000 0.5000 0.5000
# ρ, g cm⁻³: 1.5
# Volume, Å³/f.u.: 100
# E_form, eV per atom: 0.3400
# Total DFT energy (no corrections), eV/atom: -3.69
# Space group: No. 123

=====

8.
# La4NdTh3Se8, optimized geometry, DFT PBE-GGA
data_La4NdTh3Se8
_chemical_formula_sum 'La4 Nd1 Th3 Se8'
_symmetry_space_group_name_H-M 'P 1'
_symmetry_Int_Tables_number 1
_cell_length_a 8.5310
_cell_length_b 8.5310
_cell_length_c 8.5310
_cell_angle_alpha 59.78
_cell_angle_beta 59.78
_cell_angle_gamma 59.78
loop_
_symmetry_equiv_pos_as_xyz
'x,y,z'
loop_
_atom_site_label
_atom_site_type_symbol
_atom_site_fract_x
_atom_site_fract_y
_atom_site_fract_z
La1 La 0.0000 0.0000 0.0000
La2 La 0.0000 0.5000 0.5000
La3 La 0.5000 0.0000 0.5000
La4 La 0.5000 0.5000 0.0000
Nd1 Nd 0.5000 0.5000 0.5000
Th1 Th 0.0000 0.0000 0.5000
Th2 Th 0.0000 0.5000 0.0000
Th3 Th 0.5000 0.0000 0.0000
Se1 Se 0.2484 0.2484 0.2484
Se2 Se 0.2482 0.7480 0.7480
Se3 Se 0.2520 0.2520 0.7518
Se4 Se 0.2520 0.7518 0.2520
Se5 Se 0.7480 0.2482 0.7480
Se6 Se 0.7480 0.7480 0.2482
Se7 Se 0.7518 0.2520 0.2520
Se8 Se 0.7516 0.7516 0.7516
# ρ, g cm⁻³: 7.7
# Volume, Å³/f.u.: 437
# Total DFT energy (no corrections), eV/atom: -6.47
# Space group: No. 166
# Energy relative to the elements, uncorrected, eV per atom: -1.81

=====

Number 1: D(E_F) 0.77 states/eV/atom. Number 2: D(E_F) 0.51 states/eV/atom. Number 3: D(E_F) 1.20 states/eV/atom. Number 4: D(E_F) 1.08 states/eV/atom. Number 5: D(E_F) 1.97 states/eV/atom. Number 6: D(E_F) 0.58 states/eV/atom. Number 7: D(E_F) 0.36 states/eV/atom. Number 8: D(E_F) 0.48 states/eV/atom.